Below is an optimized crystal structure of LiCaCr2O, with properties calculated at the GGA+U level.

Uncorrected energy   -25.29 eV for the cell shown

Cell: 4.338 4.817 4.338 Å, 90.00 90.00 90.00°
Fractional positions:
Cr 0.000 0.000 0.500
Cr 0.500 0.000 0.000
Ca 0.500 0.500 0.500
O 0.000 0.000 0.000
Li 0.000 0.500 0.000